A.
## Ba4S3Br (PBE)

Data for a geometry-optimized Ba4S3Br structure.

total magnetic moment	0.00	μB/atom
space-group type	Pm-3m

a = 6.4799 Å, b = 6.4799 Å, c = 6.4799 Å
α = 90.00°, β = 90.00°, γ = 90.00°
Last column: nearest neighbours and their distance in Å.
Fractional positions:
1 Ba 0.0000 0.0000 0.0000  6 S 3.24
2 Ba 0.0000 0.5000 0.5000  4 S 3.24, 2 Br 3.24
3 Ba 0.5000 0.0000 0.5000  4 S 3.24, 2 Br 3.24
4 Ba 0.5000 0.5000 0.0000  4 S 3.24, 2 Br 3.24
5 S 0.0000 0.0000 0.5000  6 Ba 3.24
6 S 0.0000 0.5000 0.0000  6 Ba 3.24
7 S 0.5000 0.0000 0.0000  6 Ba 3.24
8 Br 0.5000 0.5000 0.5000  6 Ba 3.24

B.
## Ba4S3Br (PBE)

Data for a geometry-optimized Ba4S3Br structure.

total magnetic moment	0.00	μB/atom
space-group type	Cmmm

a = 7.9505 Å, b = 7.9505 Å, c = 4.5760 Å
α = 90.00°, β = 90.00°, γ = 109.25°
Last column: nearest neighbours and their distance in Å.
Fractional positions:
1 Ba 0.2330 0.2330 0.5000  4 S 3.14-3.25, 2 Br 3.36
2 Ba 0.2419 0.7581 0.0000  5 S 3.14-3.25, 1 Br 3.35
3 Ba 0.7581 0.2419 0.0000  5 S 3.14-3.25, 1 Br 3.35
4 Ba 0.7670 0.7670 0.5000  4 S 3.14-3.25, 2 Br 3.36
5 S 0.0000 0.0000 0.0000  6 Ba 3.14
6 S 0.0000 0.5000 0.5000  6 Ba 3.25
7 S 0.5000 0.0000 0.5000  6 Ba 3.25
8 Br 0.5000 0.5000 0.0000  6 Ba 3.35-3.36

Top of the stability list: B, leading by 0.033 eV/atom.